No. 1
DFT (PBE) results for BaNaSn after structural relaxation. Values from VASP.

The structure in Quantum ESPRESSO input format:
```
&SYSTEM
  ibrav = 0, nat = 6, ntyp = 3
/
ATOMIC_SPECIES
Ba 137.33 Ba.upf
Na 22.99 Na.upf
Sn 118.71 Sn.upf
CELL_PARAMETERS angstrom
5.9184 -2.8202 0.0000
5.9184 2.8202 0.0000
-1.4696 0.0000 6.6890
ATOMIC_POSITIONS angstrom
Ba 1.9929 0.0000 1.5267
Ba 8.3742 0.0000 5.1624
Na 5.9184 0.0000 0.0000
Na 5.1836 0.0000 3.3445
Sn 0.0829 0.0000 4.6994
Sn 10.2842 0.0000 1.9896
```

Values from the calculation:
Uncorrected energy (eV/atom): -2.82
Total magnetization (μB per formula unit): 0.0

No. 2
DFT (PBE) results for BaNaSn2 after structural relaxation. Values from VASP.

The structure in Quantum ESPRESSO input format:
```
&SYSTEM
  ibrav = 0, nat = 4, ntyp = 3
/
ATOMIC_SPECIES
Ba 137.33 Ba.upf
Na 22.99 Na.upf
Sn 118.71 Sn.upf
CELL_PARAMETERS angstrom
4.9687 0.0000 0.0000
0.0000 4.9687 0.0000
0.0000 0.0000 5.1573
ATOMIC_POSITIONS angstrom
Ba 0.0000 0.0000 0.0000
Na 2.4843 2.4843 0.0000
Sn 0.0000 2.4843 2.5786
Sn 2.4843 0.0000 2.5786
```

Values from the calculation:
Uncorrected energy (eV/atom): -3.15
Total magnetization (μB per formula unit): 0.0

No. 3
DFT (PBE) results for BaNaSn4 after structural relaxation. Values from VASP.

The structure in Quantum ESPRESSO input format:
```
&SYSTEM
  ibrav = 0, nat = 6, ntyp = 3
/
ATOMIC_SPECIES
Ba 137.33 Ba.upf
Na 22.99 Na.upf
Sn 118.71 Sn.upf
CELL_PARAMETERS angstrom
0.0000 4.5513 4.5513
4.5513 0.0000 4.5513
4.5513 4.5513 0.0000
ATOMIC_POSITIONS angstrom
Ba 0.0000 0.0000 0.0000
Na 2.2757 2.2757 2.2757
Sn 5.6880 3.4147 3.4147
Sn 3.4147 5.6880 3.4147
Sn 3.4147 3.4147 5.6880
Sn 5.6880 5.6880 5.6880
```

Values from the calculation:
Uncorrected energy (eV/atom): -3.53
Total magnetization (μB per formula unit): 0.0

No. 4
DFT (PBE) results for BaNaSn2 after structural relaxation. Values from VASP.

The structure in Quantum ESPRESSO input format:
```
&SYSTEM
  ibrav = 0, nat = 16, ntyp = 3
/
ATOMIC_SPECIES
Ba 137.33 Ba.upf
Na 22.99 Na.upf
Sn 118.71 Sn.upf
CELL_PARAMETERS angstrom
8.0935 0.0000 0.0000
0.0000 5.1695 0.0000
0.0000 0.0000 13.4309
ATOMIC_POSITIONS angstrom
Ba 1.2157 1.2924 2.0354
Ba 2.8311 3.8772 8.7508
Ba 5.2625 1.2924 4.6800
Ba 6.8778 3.8772 11.3955
Na 1.1287 1.2924 5.9768
Na 2.9181 3.8772 12.6923
Na 5.1754 1.2924 0.7386
Na 6.9648 3.8772 7.4540
Sn 0.2188 1.2924 8.9710
Sn 1.3775 1.2924 11.6063
Sn 2.6692 3.8772 4.8908
Sn 3.8279 3.8772 2.2556
Sn 4.2656 1.2924 11.1753
Sn 5.4243 1.2924 8.5400
Sn 6.7160 3.8772 1.8246
Sn 7.8747 3.8772 4.4599
```

Values from the calculation:
Uncorrected energy (eV/atom): -3.30
Total magnetization (μB per formula unit): 0.0

| no. | DFT formation energy (eV per formula unit) |
| --- | --- |
| 1 | -1.21 |
| 2 | -1.36 |
| 3 | -1.91 |
| 4 | -1.94 |